Sm3Bi2Rh | PBE | relaxed

## Properties
Formation energy ... -0.6795 eV/atom

Unit cell a=7.6448 b=7.6075 c=7.6938 alpha=80.52 beta=70.86 gamma=59.84
Last column: nearest neighbours and their distance in Å.
Element x y z (fractional)
Sm (0.4341, 0.6435, 0.7689)  2 Rh 2.96-2.97, 4 Bi 3.16-3.29
Sm (0.2858, 0.0000, 0.2171)  2 Rh 2.94, 4 Bi 3.12-3.26
Sm (0.5659, 0.3565, 0.2311)  2 Rh 2.96-2.97, 4 Bi 3.16-3.29
Sm (0.9224, 0.6435, 0.2311)  2 Rh 2.96-2.97, 4 Bi 3.16-3.29
Sm (0.0776, 0.3565, 0.7689)  2 Rh 2.96-2.97, 4 Bi 3.16-3.29
Sm (0.7142, 0.0000, 0.7829)  2 Rh 2.94, 4 Bi 3.12-3.26
Bi (0.0000, 0.0000, 0.0000)  6 Sm 3.16-3.19
Bi (0.5000, 0.0000, 0.5000)  6 Sm 3.12-3.28
Bi (0.1564, 0.6873, 0.5000)  6 Sm 3.16-3.29
Bi (0.8436, 0.3127, 0.5000)  6 Sm 3.16-3.29
Rh (0.6691, 0.6618, 0.0000)  6 Sm 2.94-2.97
Rh (0.3309, 0.3382, 0.0000)  6 Sm 2.94-2.97

SmBi4Rh4 | PBE | relaxed

## Properties
Formation energy ... -0.1761 eV/atom

Unit cell a=5.4521 b=8.9835 c=8.9835 alpha=90.00 beta=90.00 gamma=90.00
Last column: nearest neighbours and their distance in Å.
Element x y z (fractional)
Sm (0.0000, 0.0000, 0.0000)  4 Rh 2.84
Sm (0.5000, 0.5000, 0.5000)  4 Rh 2.84
Bi (0.4063, 0.3365, 0.8904)  5 Rh 2.75-2.95
Bi (0.9063, 0.6096, 0.8365)  5 Rh 2.75-2.95
Bi (0.4063, 0.6635, 0.1096)  5 Rh 2.75-2.95
Bi (0.0937, 0.1635, 0.6096)  5 Rh 2.75-2.95
Bi (0.5937, 0.8904, 0.6635)  5 Rh 2.75-2.95
Bi (0.0937, 0.8365, 0.3904)  5 Rh 2.75-2.95
Bi (0.9063, 0.3904, 0.1635)  5 Rh 2.75-2.95
Bi (0.5937, 0.1096, 0.3365)  5 Rh 2.75-2.95
Rh (0.5976, 0.7836, 0.3735)  5 Bi 2.75-2.95, 1 Rh 2.84, 1 Sm 2.84
Rh (0.5976, 0.2164, 0.6265)  5 Bi 2.75-2.95, 1 Rh 2.84, 1 Sm 2.84
Rh (0.0976, 0.8735, 0.7164)  5 Bi 2.75-2.95, 1 Rh 2.84, 1 Sm 2.84
Rh (0.9024, 0.2836, 0.8735)  5 Bi 2.75-2.95, 1 Rh 2.84, 1 Sm 2.84
Rh (0.9024, 0.7164, 0.1265)  5 Bi 2.75-2.95, 1 Rh 2.84, 1 Sm 2.84
Rh (0.4024, 0.3735, 0.2164)  5 Bi 2.75-2.95, 1 Rh 2.84, 1 Sm 2.84
Rh (0.4024, 0.6265, 0.7836)  5 Bi 2.75-2.95, 1 Rh 2.84, 1 Sm 2.84
Rh (0.0976, 0.1265, 0.2836)  5 Bi 2.75-2.95, 1 Rh 2.84, 1 Sm 2.84

SmBi2Rh | PBE | relaxed

## Properties
Formation energy ... -0.0504 eV/atom

Unit cell a=3.5662 b=3.5662 c=10.4256 alpha=80.15 beta=80.15 gamma=60.00
Last column: nearest neighbours and their distance in Å.
Element x y z (fractional)
Rh (0.5000, 0.5000, 0.5000)  6 Bi 2.80
Bi (0.1050, 0.1050, 0.6850)  3 Rh 2.80
Bi (0.8950, 0.8950, 0.3150)  3 Rh 2.80
Sm (0.0000, 0.0000, 0.0000)  2 Bi 3.22, 6 Sm 3.57

Sm6BiRh | PBE | relaxed

## Properties
Formation energy ... -0.2102 eV/atom

Unit cell a=6.9746 b=6.9809 c=7.8749 alpha=63.74 beta=63.79 gamma=60.03
Last column: nearest neighbours and their distance in Å.
Element x y z (fractional)
Sm (0.0400, 0.4191, 0.7705)  1 Rh 2.76
Sm (0.7700, 0.0397, 0.7705)  1 Rh 2.76
Sm (0.5810, 0.2297, 0.2294)  1 Rh 2.76
Sm (0.2300, 0.9603, 0.2295)  1 Rh 2.76
Sm (0.9600, 0.5809, 0.2295)  1 Rh 2.76
Sm (0.4190, 0.7703, 0.7706)  1 Rh 2.76
Bi (0.5000, 0.5000, 0.5000)  6 Sm 3.14
Rh (0.0000, 0.0000, 0.0000)  6 Sm 2.76

> Which formula does entry 4 have?

Sm6BiRh

> What is the formula in the third record?

SmBi2Rh